Entry 1:
PBE-GGA Tb2Th5Sc5, optimized geometry; ΔE_f = 45 meV per atom; calculated density = 8.14 g cm⁻³; SG = C2/m (12)
1.0
-4.099 2.302 1.179
-4.550 -4.945 3.800
1.141 1.962 10.101
Tb Th Sc
2 5 5
Direct
0.918 0.412 0.752 Tb
0.082 0.588 0.248 Tb
0.834 0.834 0.499 Th
0.250 0.749 0.752 Th
0.750 0.251 0.248 Th
0.166 0.166 0.501 Th
0.000 0.000 0.000 Th
0.500 0.500 0.500 Sc
0.333 0.332 0.003 Sc
0.416 0.922 0.246 Sc
0.584 0.078 0.754 Sc
0.667 0.668 0.997 Sc

---

Entry 2:
PBE-GGA K3TlH4, optimized geometry; calculated density = 3.20 g cm⁻³; SG = I4/mmm (139)
1.0
-1.299 -5.097 -1.680
3.750 -2.099 3.468
-5.081 3.271 3.078
K Tl H
3 1 4
Direct
0.500 0.500 0.000 K
0.750 0.250 0.500 K
0.250 0.750 0.500 K
0.000 0.000 0.000 Tl
0.000 0.500 0.000 H
0.500 0.000 0.000 H
0.247 0.247 0.494 H
0.753 0.753 0.506 H

---

Entry 3:
PBE-GGA LiLa2Hg, optimized geometry; ΔE_f = -96 meV per atom; calculated density = 7.65 g cm⁻³; SG = F-43m (216)
1.0
-3.032 4.327 -0.427
-1.304 1.860 -4.790
-4.990 -0.421 -1.739
Hg La Li
1 2 1
Direct
0.500 0.500 0.500 Hg
0.000 0.000 0.000 La
0.250 0.250 0.250 La
0.750 0.750 0.750 Li

---

Looking at total energy for the records above, in order, we have -77.5, -19.6, -12.5 eV per formula unit.
Looking at size of the total moment for the records above, in order, we have 0.00, 0.00, 0.70 μB/f.u..